[1]
Crystalline Ho2SiPb at its relaxed geometry. Source: Alexandria via LeMat-Bulk, functional PBE.

Total moment (μB/cell): 0.0
Mass density (g cm⁻³): 8.44
Electronic total energy (eV/atom): -5.0514

Lattice parameters (Å, degrees): 3.9638 3.9638 24.5212 90.00 90.00 120.00
Space group R-3m (No. 166, hexagonal axes)
Symmetry-distinct sites (fractional):
Ho (0.0000, 0.0000, 0.2336) [6 per cell]
Si (0.0000, 0.0000, 0.5000) [3 per cell]
Pb (0.0000, 0.0000, 0.0000) [3 per cell]

[2]
Crystalline Ho5Si2Pb2 at its relaxed geometry. Source: Alexandria via LeMat-Bulk, functional PBE.

Total moment (μB/cell): 0.0
Mass density (g cm⁻³): 9.17
Electronic total energy (eV/atom): -5.2136

Lattice parameters (Å, degrees): 15.3418 7.8467 7.7905 90.00 90.00 90.00
Space group Cmce (No. 64)
Symmetry-distinct sites (fractional):
Ho (0.0000, 0.0000, 0.0000) [4 per cell]
Ho (0.1244, 0.1729, 0.3285) [16 per cell]
Si (0.0000, 0.1266, 0.6275) [8 per cell]
Pb (0.2141, 0.0000, 0.0000) [8 per cell]

[3]
Crystalline Ho4SiTe2Pb at its relaxed geometry. Source: Alexandria via LeMat-Bulk, functional PBE.

Total moment (μB/cell): 0.0
Mass density (g cm⁻³): 8.35
Electronic total energy (eV/atom): -5.1963

Lattice parameters (Å, degrees): 7.5143 4.2738 7.5341 90.00 109.00 90.00
Space group P2/m (No. 10)
Symmetry-distinct sites (fractional):
Ho (0.2288, 0.0000, 0.2227) [2 per cell]
Ho (0.2416, 0.5000, 0.7676) [2 per cell]
Si (0.0000, 0.5000, 0.0000) [1 per cell]
Te (0.0000, 0.0000, 0.5000) [1 per cell]
Te (0.5000, 0.5000, 0.5000) [1 per cell]
Pb (0.5000, 0.0000, 0.0000) [1 per cell]

[4]
Crystalline Sm3HoPb3 at its relaxed geometry. Source: Alexandria via LeMat-Bulk, functional PBE.

Energy relative to the elements (eV per atom): -0.26
Total moment (μB/cell): 0.0
Mass density (g cm⁻³): 8.13
Electronic total energy (eV/atom): -4.5247

Lattice parameters (Å, degrees): 9.6219 9.6219 6.3025 90.00 90.00 120.00
Space group P6_3/m (No. 176)
Symmetry-distinct sites (fractional):
Sm (0.0272, 0.3353, 0.2500) [6 per cell]
Ho (0.3333, 0.6667, 0.7500) [2 per cell]
Pb (0.0088, 0.3458, 0.7500) [6 per cell]

[5]
Crystalline SmHo2Pb at its relaxed geometry. Source: Alexandria via LeMat-Bulk, functional PBE.

Energy relative to the elements (eV per atom): -0.15
Total moment (μB/cell): 0.0
Mass density (g cm⁻³): 9.22
Electronic total energy (eV/atom): -4.5452

Lattice parameters (Å, degrees): 3.6076 3.6076 32.9579 90.00 90.00 120.00
Space group R3m (No. 160, hexagonal axes)
Symmetry-distinct sites (fractional):
Sm (0.0000, 0.0000, 0.0000) [3 per cell]
Ho (0.0000, 0.0000, 0.2456) [3 per cell]
Ho (0.0000, 0.0000, 0.4206) [3 per cell]
Pb (0.0000, 0.0000, 0.8333) [3 per cell]

[6]
Crystalline Sm2HoPb3 at its relaxed geometry. Source: Alexandria via LeMat-Bulk, functional PBE.

Energy relative to the elements (eV per atom): -0.35
Total moment (μB/cell): 0.0
Mass density (g cm⁻³): 9.30
Electronic total energy (eV/atom): -4.5361

Lattice parameters (Å, degrees): 19.0545 6.3853 6.3849 90.00 90.00 90.00
Space group Cmc2_1 (No. 36)
Symmetry-distinct sites (fractional):
Sm (0.1672, 0.2492, 0.0000) [8 per cell]
Ho (0.0000, 0.2517, 0.5012) [4 per cell]
Pb (0.0000, 0.2482, 0.0012) [4 per cell]
Pb (0.1648, 0.2509, 0.5000) [8 per cell]

[7]
Crystalline Sm12Ho7Pb at its relaxed geometry. Source: Alexandria via LeMat-Bulk, functional PBE.

Energy relative to the elements (eV per atom): 0.14
Total moment (μB/cell): 0.0
Mass density (g cm⁻³): 7.99
Electronic total energy (eV/atom): -4.4782

Lattice parameters (Å, degrees): 12.2091 12.2091 15.2920 90.00 90.00 120.00
Space group R-3 (No. 148, hexagonal axes)
Symmetry-distinct sites (fractional):
Sm (0.0252, 0.5785, 0.2083) [18 per cell]
Sm (0.0574, 0.4684, 0.5864) [18 per cell]
Ho (0.0000, 0.0000, 0.0000) [3 per cell]
Ho (0.0486, 0.8630, 0.3042) [18 per cell]
Pb (0.0000, 0.0000, 0.5000) [3 per cell]

[8]
Crystalline Sm4HoPb4 at its relaxed geometry. Source: Alexandria via LeMat-Bulk, functional PBE.

Energy relative to the elements (eV per atom): -0.28
Total moment (μB/cell): 0.0
Mass density (g cm⁻³): 8.93
Electronic total energy (eV/atom): -4.5380

Lattice parameters (Å, degrees): 9.5795 9.5795 6.4622 90.00 90.00 90.00
Space group P4_2/n (No. 86, origin choice 2)
Symmetry-distinct sites (fractional):
Sm (0.0274, 0.6683, 0.1254) [8 per cell]
Ho (0.2500, 0.2500, 0.2500) [2 per cell]
Pb (0.0303, 0.6525, 0.6183) [8 per cell]